Record 1
First-principles (PBE) data for a geometry-optimized TbSi2Pt structure, as listed in OQMD.

Its size of the total moment is 0.00 μB/atom. The calculation puts the total energy at -6.373 eV/atom. Its symmetry is Immm. The density comes out at 9.3 g/cm3.

abc: 9.3272 9.3272 9.3272
angles: 153.52 125.66 61.44
Closest atoms and distances in Å follow each position.
Fractional positions:
1 Pt 0.6043 0.3512 0.2531  5 Si 2.43-2.59
2 Pt 0.9019 0.6488 0.2531  5 Si 2.43-2.59
3 Pt 0.0981 0.3512 0.7469  5 Si 2.43-2.59
4 Pt 0.3957 0.6488 0.7469  5 Si 2.43-2.59
5 Si 0.4273 0.4273 0.0000  1 Si 2.33, 2 Pt 2.48
6 Si 0.5727 0.5727 0.0000  1 Si 2.33, 2 Pt 2.48
7 Si 0.3472 0.1994 0.1479  3 Pt 2.44-2.59, 1 Si 2.52
8 Si 0.9485 0.8006 0.1479  3 Pt 2.44-2.59, 1 Si 2.52
9 Si 0.9273 0.4273 0.5000  1 Si 2.33, 2 Pt 2.43
10 Si 0.0727 0.5727 0.5000  1 Si 2.33, 2 Pt 2.43
11 Si 0.0515 0.1994 0.8521  3 Pt 2.44-2.59, 1 Si 2.52
12 Si 0.6528 0.8006 0.8521  3 Pt 2.44-2.59, 1 Si 2.52
13 Tb 0.2598 0.0000 0.2598  10 Si 3.18-3.34, 4 Pt 3.20
14 Tb 0.7013 0.2013 0.5000  8 Si 2.95-3.00, 6 Pt 3.15-3.19
15 Tb 0.2987 0.7987 0.5000  8 Si 2.95-3.00, 6 Pt 3.15-3.19
16 Tb 0.7402 0.0000 0.7402  10 Si 3.18-3.34, 4 Pt 3.20

---

Record 2
First-principles (PBE) data for a geometry-optimized Tm3FeTe5 structure, as listed in OQMD.

Its size of the total moment is 0.33 μB/atom. The excess energy over the best structure of this formula in the dataset comes out at 0.000 eV per atom. The calculation puts the total energy at -4.912 eV/atom. Its symmetry is P-62m. The density comes out at 7.8 g/cm3.

abc: 8.2924 8.2924 4.2906
angles: 90.00 90.00 120.00
Closest atoms and distances in Å follow each position.
Fractional positions:
1 Fe 0.0000 0.0000 0.0000  3 Te 2.47
2 Te 0.7022 0.0000 0.0000  1 Fe 2.47
3 Te 0.2978 0.2978 0.0000  1 Fe 2.47
4 Te 0.0000 0.7022 0.0000  1 Fe 2.47
5 Te 0.6667 0.3333 0.5000  3 Tm 3.12
6 Te 0.3333 0.6667 0.5000  3 Tm 3.12
7 Tm 0.2583 0.0000 0.5000  2 Fe 3.03, 6 Te 3.12-3.16
8 Tm 0.0000 0.2583 0.5000  2 Fe 3.03, 6 Te 3.12-3.16
9 Tm 0.7417 0.7417 0.5000  2 Fe 3.03, 6 Te 3.12-3.16

---

Record 3
First-principles (PBE) data for a geometry-optimized HfOs2Pt structure, as listed in OQMD.

Its size of the total moment is 0.10 μB/atom. Its formation energy is 32 meV/atom. The calculation puts the total energy at -9.583 eV/atom. Its symmetry is F-43m. The density comes out at 19.3 g/cm3.

abc: 4.5110 4.5110 4.5110
angles: 60.00 60.00 60.00
Closest atoms and distances in Å follow each position.
Fractional positions:
1 Hf 0.5000 0.5000 0.5000  4 Os 2.76, 4 Pt 2.76
2 Os 0.0000 0.0000 0.0000  4 Os 2.76, 4 Pt 2.76
3 Os 0.2500 0.2500 0.2500  4 Hf 2.76, 4 Os 2.76
4 Pt 0.7500 0.7500 0.7500  4 Os 2.76, 4 Hf 2.76